Record 1
Below is a relaxed BeCo2H crystal, with properties calculated at the GGA-PBE level.

Computed properties:
D(E_F): 0.999 states/eV per atom
SG: R-3m, No. 166
Relative energy among the computed polymorphs: 21 meV per atom
Energy: -5.368 eV/atom

abc: 5.956 5.956 5.956
angles: 24.16 24.16 24.16
Sites, in units of the cell vectors:
Be  0.000  0.000  0.000
Co  0.230  0.230  0.230
Co  0.770  0.770  0.770
H  0.500  0.500  0.500

Record 2
Below is a relaxed Tm12Hg5Ru3 crystal, with properties calculated at the GGA-PBE level.

Computed properties:
D(E_F): 0.626 states/eV per atom
SG: Ia-3d, No. 230
Calculated formation energy: 53 meV per atom
Energy: -4.097 eV/atom

abc: 14.578 14.578 14.578
angles: 109.47 109.47 109.47
Sites, in units of the cell vectors:
Tm  0.062  0.632  0.396
Tm  0.062  0.930  0.665
Tm  0.070  0.236  0.132
Tm  0.070  0.335  0.938
Tm  0.104  0.736  0.665
Tm  0.104  0.868  0.438
Tm  0.132  0.070  0.236
Tm  0.132  0.562  0.896
Tm  0.165  0.236  0.604
Tm  0.165  0.430  0.562
Tm  0.236  0.132  0.070
Tm  0.236  0.604  0.165
Tm  0.264  0.335  0.896
Tm  0.264  0.430  0.368
Tm  0.335  0.896  0.264
Tm  0.335  0.938  0.070
Tm  0.368  0.264  0.430
Tm  0.368  0.604  0.938
Tm  0.396  0.062  0.632
Tm  0.396  0.835  0.764
Tm  0.430  0.368  0.264
Tm  0.430  0.562  0.165
Tm  0.438  0.104  0.868
Tm  0.438  0.835  0.570
Tm  0.562  0.165  0.430
Tm  0.562  0.896  0.132
Tm  0.570  0.438  0.835
Tm  0.570  0.632  0.736
Tm  0.604  0.165  0.236
Tm  0.604  0.938  0.368
Tm  0.632  0.396  0.062
Tm  0.632  0.736  0.570
Tm  0.665  0.062  0.930
Tm  0.665  0.104  0.736
Tm  0.736  0.570  0.632
Tm  0.736  0.665  0.104
Tm  0.764  0.396  0.835
Tm  0.764  0.868  0.930
Tm  0.835  0.570  0.438
Tm  0.835  0.764  0.396
Tm  0.868  0.438  0.104
Tm  0.868  0.930  0.764
Tm  0.896  0.132  0.562
Tm  0.896  0.264  0.335
Tm  0.930  0.665  0.062
Tm  0.930  0.764  0.868
Tm  0.938  0.070  0.335
Tm  0.938  0.368  0.604
Hg  0.000  0.000  0.000
Hg  0.000  0.000  0.500
Hg  0.000  0.500  0.000
Hg  0.000  0.500  0.500
Hg  0.125  0.750  0.875
Hg  0.125  0.875  0.250
Hg  0.250  0.125  0.875
Hg  0.250  0.625  0.375
Hg  0.375  0.250  0.625
Hg  0.375  0.625  0.750
Hg  0.500  0.000  0.000
Hg  0.500  0.000  0.500
Hg  0.500  0.500  0.000
Hg  0.500  0.500  0.500
Hg  0.625  0.375  0.250
Hg  0.625  0.750  0.375
Hg  0.750  0.375  0.625
Hg  0.750  0.875  0.125
Hg  0.875  0.125  0.750
Hg  0.875  0.250  0.125
Ru  0.125  0.250  0.375
Ru  0.125  0.375  0.750
Ru  0.250  0.375  0.125
Ru  0.250  0.875  0.625
Ru  0.375  0.125  0.250
Ru  0.375  0.750  0.125
Ru  0.625  0.250  0.875
Ru  0.625  0.875  0.750
Ru  0.750  0.125  0.375
Ru  0.750  0.625  0.875
Ru  0.875  0.625  0.250
Ru  0.875  0.750  0.625

no.,calculated volume (A^3/atom),size of the total moment (μB/cell)
1,7.78,1.5
2,29.81,0.0